Density functional theory data (PBE) for an optimized crystal structure of BaSrPO2.

Values from the calculation:
- calculated total energy (eV per atom) = -4.442
- DOS(E_F) (states/eV/atom) = 0.776
- total magnetic moment (μB/cell) = 1.8
- formation energy without anion corrections (eV/atom) = -0.6562
- E above lowest polymorph (meV per atom) = 231

a = 4.819 Å, b = 4.819 Å, c = 5.611 Å
α = 90.00°, β = 90.00°, γ = 90.00°
Element x y z (fractional)
Ba  0.000  0.000  0.000
Sr  0.500  0.500  0.500
P  0.000  0.000  0.500
O  0.000  0.500  0.000
O  0.500  0.000  0.000

---

Density functional theory data (PBE) for an optimized crystal structure of MnCd2Re.

Values from the calculation:
- formation energy from the elements (eV/f.u.) = 1.279
- calculated total energy (eV per atom) = -5.542
- DOS(E_F) (states/eV/atom) = 0.458
- total magnetic moment (μB/cell) = 2.4
- E above lowest polymorph (meV per atom) = 79

a = 2.807 Å, b = 2.807 Å, c = 9.510 Å
α = 90.00°, β = 90.00°, γ = 111.89°
Element x y z (fractional)
Mn  0.000  0.000  0.000
Cd  0.000  0.000  0.541
Cd  0.500  0.500  0.247
Re  0.500  0.500  0.804

---

Density functional theory data (PBE) for an optimized crystal structure of RbIrS2.

Values from the calculation:
- calculated total energy (eV per atom) = -5.172
- total magnetic moment (μB/cell) = 0.0
- formation energy without anion corrections (eV/atom) = -0.6511

a = 7.421 Å, b = 7.421 Å, c = 7.421 Å
α = 29.31°, β = 29.31°, γ = 29.31°
Element x y z (fractional)
Rb  0.000  0.000  0.000
Ir  0.170  0.170  0.170
S  0.555  0.555  0.555
S  0.785  0.785  0.785

---

Density functional theory data (PBE) for an optimized crystal structure of ScMn.

Values from the calculation:
- formation energy from the elements (eV/f.u.) = 0.092
- calculated total energy (eV per atom) = -7.705
- DOS(E_F) (states/eV/atom) = 1.313
- total magnetic moment (μB/cell) = 2.8

a = 5.142 Å, b = 5.294 Å, c = 9.975 Å
α = 90.00°, β = 90.00°, γ = 90.00°
Element x y z (fractional)
Sc  0.113  0.089  0.483
Sc  0.119  0.649  0.689
Sc  0.381  0.351  0.189
Sc  0.387  0.911  0.983
Sc  0.613  0.411  0.517
Sc  0.619  0.851  0.311
Sc  0.881  0.149  0.811
Sc  0.887  0.589  0.017
Mn  0.094  0.605  0.406
Mn  0.104  0.848  0.229
Mn  0.396  0.152  0.729
Mn  0.406  0.395  0.906
Mn  0.594  0.895  0.594
Mn  0.604  0.652  0.771
Mn  0.896  0.348  0.271
Mn  0.906  0.105  0.094

---

Density functional theory data (PBE) for an optimized crystal structure of Ba2CdPd.

Values from the calculation:
- formation energy from the elements (eV/f.u.) = -1.560
- calculated total energy (eV per atom) = -2.878
- DOS(E_F) (states/eV/atom) = 0.465
- total magnetic moment (μB/cell) = 0.0

a = 4.065 Å, b = 4.065 Å, c = 8.222 Å
α = 90.00°, β = 90.00°, γ = 90.00°
Element x y z (fractional)
Ba  0.000  0.000  0.228
Ba  0.000  0.000  0.772
Cd  0.500  0.500  0.500
Pd  0.500  0.500  0.000

---

Density functional theory data (PBE) for an optimized crystal structure of Ni2AsBr.

Values from the calculation:
- calculated total energy (eV per atom) = -4.076
- DOS(E_F) (states/eV/atom) = 1.093
- total magnetic moment (μB/cell) = 0.0
- formation energy without anion corrections (eV/atom) = 0.3957
- E above lowest polymorph (meV per atom) = 498

a = 3.113 Å, b = 3.643 Å, c = 6.721 Å
α = 90.00°, β = 90.00°, γ = 90.00°
Element x y z (fractional)
Ni  0.000  0.000  0.000
Ni  0.500  0.000  0.500
As  0.000  0.500  0.500
Br  0.500  0.500  0.000

---

Density functional theory data (PBE) for an optimized crystal structure of TbPm2Sc.

Values from the calculation:
- formation energy from the elements (eV/f.u.) = 0.179
- calculated total energy (eV per atom) = -5.071
- DOS(E_F) (states/eV/atom) = 1.179
- total magnetic moment (μB/cell) = 0.0
- E above lowest polymorph (meV per atom) = 7

a = 11.559 Å, b = 11.559 Å, c = 11.559 Å
α = 17.65°, β = 17.65°, γ = 17.65°
Element x y z (fractional)
Tb  0.000  0.000  0.000
Pm  0.247  0.247  0.247
Pm  0.753  0.753  0.753
Sc  0.500  0.500  0.500

---

Density functional theory data (PBE) for an optimized crystal structure of PmPrNd2N4.

Values from the calculation:
- calculated total energy (eV per atom) = -7.905
- DOS(E_F) (states/eV/atom) = 0.080
- total magnetic moment (μB/cell) = 0.0
- formation energy without anion corrections (eV/atom) = -1.3587

a = 6.325 Å, b = 3.655 Å, c = 6.326 Å
α = 90.00°, β = 109.42°, γ = 90.00°
Element x y z (fractional)
Pm  0.000  0.000  0.000
Pr  0.000  0.500  0.500
Nd  0.500  0.000  0.500
Nd  0.500  0.500  0.000
N  0.249  0.500  0.248
N  0.251  0.000  0.752
N  0.749  0.000  0.248
N  0.751  0.500  0.752

---

Among the records above, which one has the lowest calculated total energy? PmPrNd2N4